(1)
Material: K2HgAu2
Method: DFT, GGA-PBE
State: optimized geometry

Summary:
For the energy of formation, the calculation gives -28 kJ/mol of atoms. The value obtained for the polymorph energy (0 for the lowest one) is 0.041 eV per formula unit. For the density of states at the Fermi level, the calculation gives 0.451 states/eV/atom. The value obtained for the uncorrected energy is -2.10 eV/atom.

Unit cell a=11.1548 b=6.2830 c=4.7120 alpha=90.00 beta=114.91 gamma=90.00
Space group C2/m (No. 12)
One atom of each set of equivalent atoms:
1 K 0.2036 0.0000 0.2034 (multiplicity 4)
2 Hg 0.0000 0.5000 0.0000 (multiplicity 2)
3 Au 0.0000 0.2231 0.5000 (multiplicity 4)

(2)
Material: NdTmCo
Method: DFT, GGA-PBE
State: optimized geometry

Summary:
For the energy of formation, the calculation gives -6 kJ/mol of atoms. The value obtained for the polymorph energy (0 for the lowest one) is 0.163 eV per formula unit. For the density of states at the Fermi level, the calculation gives 0.825 states/eV/atom. The value obtained for the uncorrected energy is -5.51 eV/atom.

Unit cell a=3.3956 b=3.3956 c=12.7689 alpha=90.00 beta=90.00 gamma=90.00
Space group I4mm (No. 107)
One atom of each set of equivalent atoms:
1 Nd 0.0000 0.0000 0.0000 (multiplicity 2)
2 Tm 0.0000 0.0000 0.2569 (multiplicity 2)
3 Co 0.0000 0.0000 0.6388 (multiplicity 2)

(3)
Material: BaSb2TeO
Method: DFT, GGA-PBE
State: optimized geometry

Summary:
The energy relative to the elements, uncorrected comes out at 116 kJ/mol of atoms. The value obtained for the polymorph energy (0 for the lowest one) is 8.772 eV per formula unit. For the density of states at the Fermi level, the calculation gives 2.652 states/eV/atom. The value obtained for the uncorrected energy is -2.46 eV/atom.

Unit cell a=6.5875 b=6.5875 c=6.4880 alpha=90.00 beta=90.00 gamma=90.00
Space group P4/mmm (No. 123)
One atom of each set of equivalent atoms:
1 Ba 0.0000 0.0000 0.0000 (multiplicity 1)
2 Sb 0.0000 0.5000 0.0000 (multiplicity 2)
3 Te 0.0000 0.0000 0.5000 (multiplicity 1)
4 O 0.5000 0.5000 0.5000 (multiplicity 1)